VASP calculation (PBE+U) on a relaxed WF3 crystal.

Unit cell a=8.5858 b=8.5858 c=8.5858 alpha=20.02 beta=20.02 gamma=20.02
Last column: nearest neighbours and their distance in Å.
Fractional positions:
F  0.9267  0.9267  0.9267  1 W 1.85
F  0.5000  0.5000  0.5000  12 F 2.92-2.98
F  0.0733  0.0733  0.0733  1 W 1.85
W  0.0000  0.0000  0.0000  2 F 1.85

Values from the calculation:
Excess energy over the best structure of this formula in the dataset (eV/atom): 0.637
Symmetry: No. 166
Crystal system: trigonal
Spin magnetization (μB per formula unit): 0.8